## AlMoP2 (PBE)

Data for an optimized crystal structure of AlMoP2.

Results
Relative energy among the computed polymorphs = 1.073 eV per formula unit
DFT formation energy = 0.01 eV/atom

abc: 6.254 4.282 3.130
angles: 89.12 61.35 123.71
Fractional coordinates of all 4 atoms:
P (0.000, 0.000, 0.000)
P (0.500, 0.000, 0.500)
Mo (0.500, 0.500, 0.000)
Al (0.000, 0.500, 0.500)

=====

## Al2Mo2P (PBE)

Data for an optimized crystal structure of Al2Mo2P.

Results
Relative energy among the computed polymorphs = 1.778 eV per formula unit
DFT formation energy = 0.17 eV/atom

abc: 3.388 3.388 7.302
angles: 76.59 76.59 90.00
Fractional coordinates of all 5 atoms:
P (0.000, 0.000, 0.000)
Mo (0.406, 0.406, 0.189)
Mo (0.594, 0.594, 0.811)
Al (0.750, 0.250, 0.500)
Al (0.250, 0.750, 0.500)

=====

## AlMoP2 (PBE)

Data for an optimized crystal structure of AlMoP2.

Results
Relative energy among the computed polymorphs = 0.289 eV per formula unit
DFT formation energy = -0.19 eV/atom

abc: 3.131 3.131 5.854
angles: 90.00 90.00 90.00
Fractional coordinates of all 4 atoms:
P (0.000, 0.000, 0.979)
P (0.000, 0.000, 0.521)
Mo (0.500, 0.500, 0.750)
Al (0.500, 0.500, 0.250)